No. 1
Density functional theory data (GGA-PBE) for crystalline LaDy2Cd at its relaxed geometry.

```
data_LaDy2Cd
_cell_length_a 3.4611
_cell_length_b 3.4611
_cell_length_c 35.8499
_cell_angle_alpha 90.00
_cell_angle_beta 90.00
_cell_angle_gamma 120.00
_symmetry_space_group_name_H-M 'R -3 m'
_symmetry_Int_Tables_number 166
_symmetry_space_group_name_Hall '-R 3 2"'
loop_
_atom_site_label
_atom_site_type_symbol
_atom_site_fract_x
_atom_site_fract_y
_atom_site_fract_z
_atom_site_occupancy
La1 La 0.0000 0.0000 0.0000 1
Dy1 Dy 0.0000 0.0000 0.0957 1
Cd1 Cd 0.0000 0.0000 0.5000 1
```

Calculated values
Size of the total moment = 0.003 μB per formula unit
DFT formation energy = 0.091 eV per atom

No. 2
Density functional theory data (GGA-PBE) for crystalline La6Dy3Cd at its relaxed geometry.

```
data_La6Dy3Cd
_cell_length_a 11.277
_cell_length_b 5.203
_cell_length_c 11.565
_cell_angle_alpha 90.00
_cell_angle_beta 92.06
_cell_angle_gamma 90.00
_symmetry_space_group_name_H-M 'P 1 21/m 1'
_symmetry_Int_Tables_number 11
loop_
_symmetry_equiv_pos_as_xyz
'x,y,z'
'-x,-y,-z'
'-x,y+1/2,-z'
'x,-y+1/2,z'
loop_
_atom_site_label
_atom_site_type_symbol
_atom_site_fract_x
_atom_site_fract_y
_atom_site_fract_z
_atom_site_occupancy
La1 La 0.046 0.250 0.393 1
La2 La 0.140 0.750 0.188 1
La3 La 0.154 0.250 0.690 1
La4 La 0.239 0.250 0.995 1
La5 La 0.349 0.750 0.799 1
La6 La 0.451 0.250 0.602 1
Dy1 Dy 0.248 0.750 0.492 1
Dy2 Dy 0.348 0.250 0.296 1
Dy3 Dy 0.450 0.750 0.099 1
Cd1 Cd 0.053 0.750 0.895 1
```

Calculated values
Size of the total moment = 0.000 μB per formula unit
DFT formation energy = -0.022 eV per atom

No. 3
Density functional theory data (GGA-PBE) for crystalline La6DyCd3 at its relaxed geometry.

```
data_La6DyCd3
_cell_length_a 10.615
_cell_length_b 18.164
_cell_length_c 6.736
_cell_angle_alpha 90.00
_cell_angle_beta 90.00
_cell_angle_gamma 90.00
_symmetry_space_group_name_H-M 'C m c 21'
_symmetry_Int_Tables_number 36
loop_
_symmetry_equiv_pos_as_xyz
'x,y,z'
'-x,-y,z+1/2'
'-x,y,z'
'x,-y,z+1/2'
'x+1/2,y+1/2,z'
'-x+1/2,-y+1/2,z+1/2'
'-x+1/2,y+1/2,z'
'x+1/2,-y+1/2,z+1/2'
loop_
_atom_site_label
_atom_site_type_symbol
_atom_site_fract_x
_atom_site_fract_y
_atom_site_fract_z
_atom_site_occupancy
La1 La 0.000 0.047 0.000 1
La2 La 0.000 0.295 0.028 1
La3 La 0.166 0.465 0.192 1
La4 La 0.248 0.196 0.852 1
Dy1 Dy 0.000 0.166 0.530 1
Cd1 Cd 0.000 0.372 0.569 1
Cd2 Cd 0.233 0.126 0.298 1
```

Calculated values
Size of the total moment = 0.001 μB per formula unit
DFT formation energy = -0.075 eV per atom

- DFT formation energy of number 3 (La6DyCd3)?
  -0.075 eV per atom

- Which value of DFT formation energy does entry 2 give?
  -0.022 eV per atom

Copy entry 2 word for word.
Density functional theory data (GGA-PBE) for crystalline La6Dy3Cd at its relaxed geometry.

```
data_La6Dy3Cd
_cell_length_a 11.277
_cell_length_b 5.203
_cell_length_c 11.565
_cell_angle_alpha 90.00
_cell_angle_beta 92.06
_cell_angle_gamma 90.00
_symmetry_space_group_name_H-M 'P 1 21/m 1'
_symmetry_Int_Tables_number 11
loop_
_symmetry_equiv_pos_as_xyz
'x,y,z'
'-x,-y,-z'
'-x,y+1/2,-z'
'x,-y+1/2,z'
loop_
_atom_site_label
_atom_site_type_symbol
_atom_site_fract_x
_atom_site_fract_y
_atom_site_fract_z
_atom_site_occupancy
La1 La 0.046 0.250 0.393 1
La2 La 0.140 0.750 0.188 1
La3 La 0.154 0.250 0.690 1
La4 La 0.239 0.250 0.995 1
La5 La 0.349 0.750 0.799 1
La6 La 0.451 0.250 0.602 1
Dy1 Dy 0.248 0.750 0.492 1
Dy2 Dy 0.348 0.250 0.296 1
Dy3 Dy 0.450 0.750 0.099 1
Cd1 Cd 0.053 0.750 0.895 1
```

Calculated values
Size of the total moment = 0.000 μB per formula unit
DFT formation energy = -0.022 eV per atom